## BeNiIO2 (PBE+U)

Data for a relaxed BeNiIO2 crystal.

DFT total energy ... -18.51 eV for the cell shown
Total moment ... 0.7 μB/cell

Lattice parameters (Å, degrees): 3.4873 3.4873 6.7096 90.00 90.00 90.00
Element x y z (fractional)
Be (0.0000, 0.0000, 0.0000)
Ni (0.5000, 0.5000, 0.5000)
I (0.0000, 0.0000, 0.5000)
O (0.0000, 0.5000, 0.0000)
O (0.5000, 0.0000, 0.0000)